VASP calculation (PBE) on a relaxed structure of CsLaNdI6.

## Properties
Density of states at the Fermi level, states/eV per atom: 0.73
Uncorrected formation energy, kJ/mol of atoms: -127.9
V, Å³/cell: 1047

Cell lengths 11.483, 11.316, 11.396 Å; angles 119.77, 120.25, 90.00 degrees
Sites, in units of the cell vectors:
Cs (0.880, 0.630, 0.761)
Cs (0.120, 0.370, 0.239)
La (0.500, 0.500, 0.000)
La (0.500, 0.000, 0.000)
Nd (0.500, 0.000, 0.500)
Nd (0.000, 0.000, 0.500)
I (0.404, 0.654, 0.808)
I (0.832, 0.082, 0.665)
I (0.841, 0.086, 0.248)
I (0.407, 0.662, 0.248)
I (0.407, 0.086, 0.248)
I (0.841, 0.662, 0.248)
I (0.596, 0.346, 0.192)
I (0.168, 0.918, 0.335)
I (0.159, 0.914, 0.752)
I (0.593, 0.338, 0.752)
I (0.593, 0.914, 0.752)
I (0.159, 0.338, 0.752)